The following is a DFT calculation (PBE) of a geometry-optimized NdLuAlPd structure.

## Properties
magnetic moment	0.005	μB per formula unit
space group	F-43m, No. 216

Geometry as extended XYZ:
```
4
Lattice="0.0000 3.6017 3.6017 3.6017 0.0000 3.6017 3.6017 3.6017 0.0000" Properties=species:S:1:pos:R:3 pbc="T T T"
Nd 0.0000 0.0000 0.0000
Lu 3.6017 3.6017 3.6017
Al 1.8009 1.8009 1.8009
Pd 5.4026 5.4026 5.4026
```

---

The following is a DFT calculation (PBE) of a geometry-optimized PmNdLuAl structure.

## Properties
magnetic moment	0.001	μB per formula unit
space group	F-43m, No. 216

Geometry as extended XYZ:
```
4
Lattice="0.0000 3.8283 3.8283 3.8283 0.0000 3.8283 3.8283 3.8283 0.0000" Properties=species:S:1:pos:R:3 pbc="T T T"
Pm 0.0000 0.0000 0.0000
Nd 3.8283 3.8283 3.8283
Lu 1.9141 1.9141 1.9141
Al 5.7424 5.7424 5.7424
```

---

no.,formation enthalpy at 0 K (eV per formula unit)
1,-2.1
2,-0.3